Record 1
The following is a DFT calculation (PBE) of crystalline KInP2O7 at its relaxed geometry.

Cell and atoms, written as CIF:
```
data_KInP2O7
_cell_length_a 7.557
_cell_length_b 10.612
_cell_length_c 8.569
_cell_angle_alpha 90.00
_cell_angle_beta 107.06
_cell_angle_gamma 90.00
_space_group_name_H-M_alt 'P 1 21/c 1'
_space_group_IT_number 14
loop_
_space_group_symop_operation_xyz
'x,y,z'
'-x,-y,-z'
'-x,y+1/2,-z+1/2'
'x,-y+1/2,z+1/2'
loop_
_atom_site_label
_atom_site_fract_x
_atom_site_fract_y
_atom_site_fract_z
_atom_site_occupancy
K1 0.174 0.178 0.065 1
In1 0.237 0.599 0.257 1
P1 0.127 0.601 0.821 1
P2 0.442 0.638 0.695 1
O1 0.007 0.002 0.216 1
O2 0.068 0.731 0.743 1
O3 0.128 0.598 0.997 1
O4 0.324 0.605 0.523 1
O5 0.337 0.573 0.817 1
O6 0.363 0.082 0.757 1
O7 0.461 0.720 0.237 1
```

ΔE_f (raw)	-2.172	eV per atom

=====

Record 2
The following is a DFT calculation (PBE) of crystalline CsGaAgSb2 at its relaxed geometry.

Cell and atoms, written as CIF:
```
data_CsGaAgSb2
_cell_length_a 7.306
_cell_length_b 12.434
_cell_length_c 7.712
_cell_angle_alpha 90.00
_cell_angle_beta 90.00
_cell_angle_gamma 90.00
_space_group_name_H-M_alt 'C m m e'
_space_group_IT_number 67
_space_group_name_Hall '-C 2a 2'
loop_
_atom_site_label
_atom_site_fract_x
_atom_site_fract_y
_atom_site_fract_z
_atom_site_occupancy
Cs1 0.000 0.250 0.243 1
Ga1 0.250 0.000 0.500 1
Ag1 0.000 0.000 0.000 1
Sb1 0.000 0.108 0.696 1
```

ΔE_f (raw)	-0.169	eV per atom

=====

Record 3
The following is a DFT calculation (PBE) of crystalline TmPtPb at its relaxed geometry.

Cell and atoms, written as CIF:
```
data_TmPtPb
_cell_length_a 3.510
_cell_length_b 3.510
_cell_length_c 11.651
_cell_angle_alpha 90.00
_cell_angle_beta 90.00
_cell_angle_gamma 90.00
_space_group_name_H-M_alt 'I 4 m m'
_space_group_IT_number 107
_space_group_name_Hall 'I 4 -2'
loop_
_atom_site_label
_atom_site_fract_x
_atom_site_fract_y
_atom_site_fract_z
_atom_site_occupancy
Tm1 0.000 0.000 0.000 1
Pt1 0.000 0.000 0.621 1
Pb1 0.000 0.000 0.287 1
```

energy of formation from the pure elements	-0.665	eV per atom

=====

Record 4
The following is a DFT calculation (PBE) of crystalline LiHCl2 at its relaxed geometry.

Cell and atoms, written as CIF:
```
data_LiHCl2
_cell_length_a 3.8589
_cell_length_b 3.8589
_cell_length_c 17.3515
_cell_angle_alpha 90.00
_cell_angle_beta 90.00
_cell_angle_gamma 120.00
_space_group_name_H-M_alt 'R -3 m'
_space_group_IT_number 166
_space_group_name_Hall '-R 3 2"'
loop_
_atom_site_label
_atom_site_fract_x
_atom_site_fract_y
_atom_site_fract_z
_atom_site_occupancy
Li1 0.0000 0.0000 0.0000 1
H1 0.0000 0.0000 0.5000 1
Cl1 0.0000 0.0000 0.4102 1
```

excess energy over the best structure of this formula in the dataset	14	meV/atom

=====

Record 5
The following is a DFT calculation (PBE) of crystalline AlOs2W at its relaxed geometry.

Cell and atoms, written as CIF:
```
data_AlOs2W
_cell_length_a 3.067
_cell_length_b 4.300
_cell_length_c 8.874
_cell_angle_alpha 90.00
_cell_angle_beta 90.00
_cell_angle_gamma 90.00
_space_group_name_H-M_alt 'I m m 2'
_space_group_IT_number 44
loop_
_space_group_symop_operation_xyz
'x,y,z'
'-x,-y,z'
'-x,y,z'
'x,-y,z'
'x+1/2,y+1/2,z+1/2'
'-x+1/2,-y+1/2,z+1/2'
'-x+1/2,y+1/2,z+1/2'
'x+1/2,-y+1/2,z+1/2'
loop_
_atom_site_label
_atom_site_fract_x
_atom_site_fract_y
_atom_site_fract_z
_atom_site_occupancy
Al1 0.000 0.000 0.000 1
Os1 0.000 0.000 0.500 1
Os2 0.000 0.500 0.734 1
W1 0.000 0.500 0.249 1
```

energy of formation from the pure elements	-0.062	eV per atom

=====

Record 6
The following is a DFT calculation (PBE) of crystalline CsZnAu3 at its relaxed geometry.

Cell and atoms, written as CIF:
```
data_CsZnAu3
_cell_length_a 5.160
_cell_length_b 5.160
_cell_length_c 5.160
_cell_angle_alpha 90.00
_cell_angle_beta 90.00
_cell_angle_gamma 90.00
_space_group_name_H-M_alt 'P m -3 m'
_space_group_IT_number 221
_space_group_name_Hall '-P 4 2 3'
loop_
_atom_site_label
_atom_site_fract_x
_atom_site_fract_y
_atom_site_fract_z
_atom_site_occupancy
Cs1 0.000 0.000 0.000 1
Zn1 0.500 0.500 0.500 1
Au1 0.000 0.500 0.500 1
```

energy of formation from the pure elements	-0.042	eV per atom
excess energy over the best structure of this formula in the dataset	144	meV/atom

=====

Record 7
The following is a DFT calculation (PBE) of crystalline TlSb2Pt at its relaxed geometry.

Cell and atoms, written as CIF:
```
data_TlSb2Pt
_cell_length_a 3.281
_cell_length_b 3.445
_cell_length_c 19.031
_cell_angle_alpha 90.00
_cell_angle_beta 90.00
_cell_angle_gamma 90.00
_space_group_name_H-M_alt 'I m m 2'
_space_group_IT_number 44
loop_
_space_group_symop_operation_xyz
'x,y,z'
'-x,-y,z'
'-x,y,z'
'x,-y,z'
'x+1/2,y+1/2,z+1/2'
'-x+1/2,-y+1/2,z+1/2'
'-x+1/2,y+1/2,z+1/2'
'x+1/2,-y+1/2,z+1/2'
loop_
_atom_site_label
_atom_site_fract_x
_atom_site_fract_y
_atom_site_fract_z
_atom_site_occupancy
Tl1 0.000 0.000 0.000 1
Sb1 0.000 0.000 0.642 1
Sb2 0.000 0.500 0.330 1
Pt1 0.000 0.500 0.755 1
```

excess energy over the best structure of this formula in the dataset	156	meV/atom
ΔE_f (raw)	-0.126	eV per atom

=====

Record 8
The following is a DFT calculation (PBE) of crystalline SrSN2F at its relaxed geometry.

Cell and atoms, written as CIF:
```
data_SrSN2F
_cell_length_a 5.071
_cell_length_b 5.071
_cell_length_c 6.041
_cell_angle_alpha 90.00
_cell_angle_beta 90.00
_cell_angle_gamma 90.00
_space_group_name_H-M_alt 'P 4/m m m'
_space_group_IT_number 123
_space_group_name_Hall '-P 4 2'
loop_
_atom_site_label
_atom_site_fract_x
_atom_site_fract_y
_atom_site_fract_z
_atom_site_occupancy
Sr1 0.000 0.000 0.000 1
S1 0.000 0.000 0.500 1
N1 0.000 0.500 0.000 1
F1 0.500 0.500 0.500 1
```

excess energy over the best structure of this formula in the dataset	1647	meV/atom
ΔE_f (raw)	1.374	eV per atom

=====

Record 9
The following is a DFT calculation (PBE) of crystalline Ta2Ru3Rh2 at its relaxed geometry.

Cell and atoms, written as CIF:
```
data_Ta2Ru3Rh2
_cell_length_a 2.785
_cell_length_b 2.794
_cell_length_c 15.816
_cell_angle_alpha 94.85
_cell_angle_beta 90.05
_cell_angle_gamma 119.88
_space_group_name_H-M_alt 'P -1'
_space_group_IT_number 2
loop_
_space_group_symop_operation_xyz
'x,y,z'
'-x,-y,-z'
loop_
_atom_site_label
_atom_site_fract_x
_atom_site_fract_y
_atom_site_fract_z
_atom_site_occupancy
Ta1 0.088 0.172 0.284 1
Ru1 0.000 0.000 0.000 1
Ru2 0.187 0.374 0.567 1
Rh1 0.288 0.577 0.860 1
```

energy of formation from the pure elements	-0.043	eV per atom

=====

Record 10
The following is a DFT calculation (PBE) of crystalline BaNaCa4 at its relaxed geometry.

Cell and atoms, written as CIF:
```
data_BaNaCa4
_cell_length_a 3.891
_cell_length_b 6.186
_cell_length_c 11.013
_cell_angle_alpha 90.00
_cell_angle_beta 91.75
_cell_angle_gamma 90.00
_space_group_name_H-M_alt 'P 1 2/m 1'
_space_group_IT_number 10
loop_
_space_group_symop_operation_xyz
'x,y,z'
'-x,-y,-z'
'-x,y,-z'
'x,-y,z'
loop_
_atom_site_label
_atom_site_fract_x
_atom_site_fract_y
_atom_site_fract_z
_atom_site_occupancy
Ba1 0.000 0.000 0.000 1
Na1 0.000 0.500 0.500 1
Ca1 0.273 0.000 0.342 1
Ca2 0.351 0.500 0.820 1
```

energy of formation from the pure elements	0.055	eV per atom
excess energy over the best structure of this formula in the dataset	8	meV/atom

=====

Record 11
The following is a DFT calculation (PBE) of crystalline SrAc5 at its relaxed geometry.

Cell and atoms, written as CIF:
```
data_SrAc5
_cell_length_a 6.524
_cell_length_b 19.941
_cell_length_c 4.284
_cell_angle_alpha 90.00
_cell_angle_beta 90.00
_cell_angle_gamma 90.00
_space_group_name_H-M_alt 'C m m m'
_space_group_IT_number 65
_space_group_name_Hall '-C 2 2'
loop_
_atom_site_label
_atom_site_fract_x
_atom_site_fract_y
_atom_site_fract_z
_atom_site_occupancy
Sr1 0.000 0.000 0.000 1
Ac1 0.000 0.156 0.500 1
Ac2 0.000 0.322 0.000 1
Ac3 0.000 0.500 0.500 1
```

energy of formation from the pure elements	0.120	eV per atom
excess energy over the best structure of this formula in the dataset	91	meV/atom

=====

Record 12
The following is a DFT calculation (PBE) of crystalline ReBi at its relaxed geometry.

Cell and atoms, written as CIF:
```
data_ReBi
_cell_length_a 6.230
_cell_length_b 8.531
_cell_length_c 14.052
_cell_angle_alpha 90.00
_cell_angle_beta 90.00
_cell_angle_gamma 90.00
_space_group_name_H-M_alt 'F d d d'
_space_group_IT_number 70
loop_
_space_group_symop_operation_xyz
'x,y,z'
'-x,-y,-z'
'-x+1/4,-y+1/4,z'
'x+1/4,y+1/4,-z'
'x,-y+1/4,-z+1/4'
'-x,y+1/4,z+1/4'
'-x+1/4,y,-z+1/4'
'x+1/4,-y,z+1/4'
'x,y+1/2,z+1/2'
'-x,-y+1/2,-z+1/2'
'-x+1/4,-y+3/4,z+1/2'
'x+1/4,y+3/4,-z+1/2'
'x,-y+3/4,-z+3/4'
'-x,y+3/4,z+3/4'
'-x+1/4,y+1/2,-z+3/4'
'x+1/4,-y+1/2,z+3/4'
'x+1/2,y,z+1/2'
'-x+1/2,-y,-z+1/2'
'-x+3/4,-y+1/4,z+1/2'
'x+3/4,y+1/4,-z+1/2'
'x+1/2,-y+1/4,-z+3/4'
'-x+1/2,y+1/4,z+3/4'
'-x+3/4,y,-z+3/4'
'x+3/4,-y,z+3/4'
'x+1/2,y+1/2,z'
'-x+1/2,-y+1/2,-z'
'-x+3/4,-y+3/4,z'
'x+3/4,y+3/4,-z'
'x+1/2,-y+3/4,-z+1/4'
'-x+1/2,y+3/4,z+1/4'
'-x+3/4,y+1/2,-z+1/4'
'x+3/4,-y+1/2,z+1/4'
loop_
_atom_site_label
_atom_site_fract_x
_atom_site_fract_y
_atom_site_fract_z
_atom_site_occupancy
Re1 0.125 0.125 0.039 1
Bi1 0.125 0.310 0.625 1
```

energy of formation from the pure elements	0.956	eV per atom
excess energy over the best structure of this formula in the dataset	398	meV/atom